KPtI5: relaxed, GGA-PBE.

Computed properties:
SG: C2/c, No. 15
Density: 4.92 g cm⁻³
Total moment: 0.00 μB per formula unit
Raw total energy: -35.95 eV for the cell shown
Formation energy from raw total energies: -0.44 eV/atom

```
KPtI5
1.0
6.706 -4.056 0.000
6.706 4.056 0.000
-3.767 0.000 10.775
K Pt I
2 2 10
direct
0.017 0.983 0.750
0.983 0.017 0.250
0.500 0.500 0.000
0.500 0.500 0.500
0.107 0.668 0.441
0.147 0.498 0.911
0.332 0.893 0.059
0.462 0.538 0.750
0.498 0.147 0.411
0.502 0.853 0.589
0.538 0.462 0.250
0.668 0.107 0.941
0.853 0.502 0.089
0.893 0.332 0.559
```